DFT (PBE with a Hubbard U) results for a geometry-optimized PmCoRh2O6 structure.

Geometry as POSCAR:
```
PmCoRh2O6
1.0
-3.0134 2.1809 -3.9845
-3.5236 -3.1072 -2.7648
-5.4580 0.7079 0.7866
O Rh Co Pm
6 2 1 1
Direct
0.3653 0.7255 0.7459
0.2494 0.8998 0.2213
0.7255 0.1634 0.7459
0.8998 0.6295 0.2214
0.6295 0.2493 0.2214
0.1634 0.3653 0.7459
0.5183 0.5183 0.4450
0.0130 0.0130 0.9609
0.3082 0.3082 0.0753
0.7892 0.7892 0.6323
```

Calculated values
electronic total energy: -6.817 eV per atom
density: 7.1 Mg/m³
DOS at the Fermi energy: 0.945 states/eV per atom
V: 117.9 Å³ per cell
space-group type: R3 (146)